# 1
The following is a PBE calculation of a geometry-optimized Ce2ThTc structure, from Alexandria via LeMat-Bulk.

## Properties
Total magnetic moment, μB/f.u.: 0.00
E_tot, eV per atom: -7.475
Space-group type: Pmmn, No. 59
V, Å³/atom: 24.32
Crystal system: orthorhombic
Formation enthalpy at 0 K, meV per atom: -62
Density of states at the Fermi level, states/eV per atom: 1.68
Energy above the most stable polymorph in this dataset, kJ/mol of formula units: 8

abc: 4.6897 6.0440 6.8649
angles: 90.00 90.00 90.00
Positions (direct):
Th (0.0000, 0.0000, 0.4120)
Th (0.5000, 0.5000, 0.5880)
Tc (0.0000, 0.5000, 0.3175)
Tc (0.5000, 0.0000, 0.6825)
Ce (0.5000, 0.7224, 0.1161)
Ce (0.5000, 0.2776, 0.1161)
Ce (0.0000, 0.7776, 0.8839)
Ce (0.0000, 0.2224, 0.8839)



# 2
The following is a PBE calculation of a geometry-optimized KCdIO2 structure, from Alexandria via LeMat-Bulk.

## Properties
Total magnetic moment, μB/f.u.: 2.78
E_tot, eV per atom: -2.355
Space-group type: P4/mmm, No. 123
V, Å³/atom: 31.49
Crystal system: tetragonal
Density of states at the Fermi level, states/eV per atom: 0.98
Energy relative to the elements, uncorrected, eV/atom: 0.34
Energy above the most stable polymorph in this dataset, kJ/mol of formula units: 339

abc: 4.7342 4.7342 7.0257
angles: 90.00 90.00 90.00
Last column: magnetic moment on the atom in μB.
Positions (direct):
Cd (0.5000, 0.5000, 0.5000)  0.02
O (0.0000, 0.5000, 0.0000)  1.06
O (0.5000, 0.0000, 0.0000)  1.06
I (0.0000, 0.0000, 0.5000)  0.00
K (0.0000, 0.0000, 0.0000)  0.06



# 3
The following is a PBE calculation of a geometry-optimized GdNiGe structure, from Alexandria via LeMat-Bulk.

## Properties
Total magnetic moment, μB/f.u.: 7.07
E_tot, eV per atom: -8.389
Space-group type: I4mm, No. 107
V, Å³/atom: 20.09
Crystal system: tetragonal
Formation enthalpy at 0 K, meV per atom: -229
Density of states at the Fermi level, states/eV per atom: 0.61

abc: 3.8095 3.8095 4.9502
angles: 112.63 112.63 90.00
Last column: magnetic moment on the atom in μB.
Positions (direct):
Ni (0.2615, 0.2615, 0.5229)  -0.02
Gd (0.6259, 0.6259, 0.2519)  6.99
Ge (0.9626, 0.9626, 0.9252)  0.00